Material: Pr4Ho2Tl
Method: DFT, PBE-GGA
State: relaxed

a = 6.264 Å, b = 12.647 Å, c = 6.167 Å
α = 90.00°, β = 90.00°, γ = 90.00°
Space group Cmmm (No. 65)
One atom of each set of equivalent atoms:
Pr1 0.000 0.134 0.000
Pr2 0.000 0.334 0.500
Ho1 0.000 0.382 0.000
Tl1 0.000 0.000 0.500


Material: Pr12Ho6Tl
Method: DFT, PBE-GGA
State: relaxed

a = 12.1300 Å, b = 12.1300 Å, c = 15.4489 Å
α = 90.00°, β = 90.00°, γ = 120.00°
Space group R-3 (No. 148, hexagonal axes)
One atom of each set of equivalent atoms:
Pr1 0.0087 0.8303 0.3128
Pr2 0.0477 0.2019 0.9152
Ho1 0.0263 0.5902 0.1914
Tl1 0.0000 0.0000 0.5000


Material: Pr3HoTl2
Method: DFT, PBE-GGA
State: relaxed

## Properties
The offset from the most stable computed form comes out at 0 meV per atom.

a = 5.263 Å, b = 10.397 Å, c = 6.888 Å
α = 90.00°, β = 90.00°, γ = 90.00°
Space group Pmc2_1 (No. 26)
One atom of each set of equivalent atoms:
Pr1 0.000 0.040 0.000
Pr2 0.000 0.322 0.367
Pr3 0.500 0.190 0.737
Ho1 0.500 0.460 0.096
Tl1 0.000 0.366 0.849
Tl2 0.500 0.139 0.258


no.,total moment (μB per formula unit),ΔH_f (0 K) (eV/atom)
1,0.000,0.40
2,0.001,0.07
3,0.000,-0.27